No. 1
The following is a PBE calculation of an optimized crystal structure of La2TbPr4Tm, from the Alexandria database.

Cell lengths 5.1713, 5.2050, 10.4368 Å; angles 90.00, 90.09, 90.00 degrees
With the nearest neighbours (Å) after each atom.
Space group P2/m (No. 10)
One atom of each set of equivalent atoms:
La1 0.0000 0.0000 0.0000 [1 per cell]  8 Pr 3.67, 4 Tm 3.67
La2 0.5000 0.5000 0.5000 [1 per cell]  4 Tb 3.67, 8 Pr 3.68-3.69
Tb1 0.0000 0.0000 0.5000 [1 per cell]  4 La 3.67, 8 Pr 3.67-3.70
Pr1 0.9996 0.5000 0.2486 [2 per cell]  2 Tm 3.66-3.67, 4 Pr 3.67, 4 La 3.67-3.69, 2 Tb 3.70
Pr2 0.5003 0.0000 0.2495 [2 per cell]  4 Pr 3.67, 4 La 3.67-3.69, 2 Tb 3.67-3.68, 2 Tm 3.68
Tm1 0.5000 0.5000 0.0000 [1 per cell]  8 Pr 3.66-3.68, 4 La 3.67

Properties
energy of formation from the pure elements: 21 meV per atom
density of states at the Fermi level: 1.70 states/eV/atom
density: 6.91 g/cm³


No. 2
The following is a PBE calculation of an optimized crystal structure of Sm4Zn2Ga, from the Alexandria database.

Cell lengths 7.2336, 7.2336, 7.2306 Å; angles 90.00, 90.00, 90.00 degrees
With the nearest neighbours (Å) after each atom.
Space group I4/mmm (No. 139)
One atom of each set of equivalent atoms:
Sm1 0.2500 0.2500 0.2500 [8 per cell]  4 Zn 3.13, 2 Ga 3.13
Zn1 0.0000 0.5000 0.0000 [4 per cell]  8 Sm 3.13
Ga1 0.0000 0.0000 0.0000 [2 per cell]  8 Sm 3.13

Properties
energy of formation from the pure elements: -286 meV per atom
density of states at the Fermi level: 0.93 states/eV/atom
density: 7.04 g/cm³


No. 3
The following is a PBE calculation of an optimized crystal structure of Rb2BaNaCl5, from the Alexandria database.

Cell lengths 4.6578, 19.3297, 13.8056 Å; angles 90.00, 90.00, 90.00 degrees
With the nearest neighbours (Å) after each atom.
Space group Cmc2_1 (No. 36)
One atom of each set of equivalent atoms:
Rb1 0.0000 0.1057 0.0000 [4 per cell]  6 Cl 3.31-3.69
Rb2 0.0000 0.1191 0.6042 [4 per cell]  8 Cl 3.32-3.70
Ba1 0.0000 0.2128 0.3161 [4 per cell]  6 Cl 3.06-3.11
Na1 0.0000 0.4880 0.7838 [4 per cell]  4 Cl 2.67-2.76
Cl1 0.0000 0.0563 0.3582 [4 per cell]  2 Na 2.69
Cl2 0.0000 0.2837 0.9652 [4 per cell]  2 Ba 3.11, 1 Rb 3.47
Cl3 0.0000 0.3005 0.6717 [4 per cell]  2 Ba 3.08
Cl4 0.0000 0.3708 0.3117 [4 per cell]  1 Na 2.76, 1 Ba 3.06
Cl5 0.0000 0.4967 0.5912 [4 per cell]  1 Na 2.67

Properties
energy relative to the elements, uncorrected: -2.072 eV per atom
density of states at the Fermi level: 0.00 states/eV/atom
density: 2.72 g/cm³


No. 4
The following is a PBE calculation of an optimized crystal structure of ZrGe2F, from the Alexandria database.

Cell lengths 6.5911, 6.5911, 6.5911 Å; angles 90.00, 90.00, 90.00 degrees
With the nearest neighbours (Å) after each atom.
Space group Fm-3m (No. 225)
One atom of each set of equivalent atoms:
Zr1 0.0000 0.0000 0.0000 [4 per cell]  8 Ge 2.85
Ge1 0.2500 0.2500 0.2500 [8 per cell]  4 Zr 2.85, 4 F 2.85
F1 0.0000 0.0000 0.5000 [4 per cell]  8 Ge 2.85

Properties
energy relative to the elements, uncorrected: -0.354 eV per atom
density of states at the Fermi level: 1.09 states/eV/atom
density: 5.93 g/cm³


No. 5
The following is a PBE calculation of an optimized crystal structure of NaCSe3, from the Alexandria database.

Cell lengths 5.0635, 5.0635, 5.0635 Å; angles 90.00, 90.00, 90.00 degrees
With the nearest neighbours (Å) after each atom.
Space group Pm-3m (No. 221)
One atom of each set of equivalent atoms:
Na1 0.0000 0.0000 0.0000 [1 per cell]  6 Se 2.53
C1 0.5000 0.5000 0.5000 [1 per cell]  12 Se 3.58
Se1 0.0000 0.0000 0.5000 [3 per cell]  2 Na 2.53

Properties
energy relative to the elements, uncorrected: 2.132 eV per atom
density of states at the Fermi level: 2.03 states/eV/atom
density: 3.48 g/cm³


No. 6
The following is a PBE calculation of an optimized crystal structure of Tb3Si, from the Alexandria database.

Cell lengths 6.7053, 6.7053, 5.1373 Å; angles 90.00, 90.00, 120.00 degrees
With the nearest neighbours (Å) after each atom.
Space group P6_3/mmc (No. 194)
One atom of each set of equivalent atoms:
Tb1 0.1777 0.3554 0.2500 [6 per cell]  6 Tb 3.13-3.29, 4 Si 3.14-3.36
Si1 0.3333 0.6667 0.7500 [2 per cell]  12 Tb 3.14-3.36

Properties
energy relative to the elements, uncorrected: -0.253 eV per atom
density of states at the Fermi level: 0.94 states/eV/atom
density: 8.38 g/cm³


No. 7
The following is a PBE calculation of an optimized crystal structure of HoTm4Sc, from the Alexandria database.

Cell lengths 5.4676, 3.5346, 18.3307 Å; angles 90.00, 90.00, 90.00 degrees
With the nearest neighbours (Å) after each atom.
Space group Amm2 (No. 38)
One atom of each set of equivalent atoms:
Ho1 0.0000 0.0000 0.0000 [2 per cell]  10 Tm 3.42-3.57, 2 Ho 3.53
Tm1 0.0000 0.0000 0.3307 [2 per cell]  2 Sc 3.38, 8 Tm 3.41-3.53, 2 Ho 3.57
Tm2 0.0000 0.0000 0.6682 [2 per cell]  4 Sc 3.41, 6 Tm 3.41-3.53, 2 Ho 3.55
Tm3 0.5000 0.0000 0.5571 [2 per cell]  6 Tm 3.41-3.61, 4 Ho 3.42, 2 Sc 3.51
Tm4 0.5000 0.0000 0.8856 [2 per cell]  8 Tm 3.41-3.61, 2 Ho 3.45, 2 Sc 3.47
Sc1 0.5000 0.0000 0.2227 [2 per cell]  10 Tm 3.38-3.51, 2 Sc 3.53

Properties
energy of formation from the pure elements: 5 meV per atom
density of states at the Fermi level: 1.71 states/eV/atom
density: 8.30 g/cm³


No. 8
The following is a PBE calculation of an optimized crystal structure of Zr2BeRuF, from the Alexandria database.

Cell lengths 4.8111, 4.8111, 3.8997 Å; angles 90.00, 90.00, 90.00 degrees
With the nearest neighbours (Å) after each atom.
Space group P4/mmm (No. 123)
One atom of each set of equivalent atoms:
Zr1 0.0000 0.5000 0.0000 [2 per cell]  2 Be 2.41
Be1 0.0000 0.0000 0.0000 [1 per cell]  2 Ru 1.95
Ru1 0.0000 0.0000 0.5000 [1 per cell]  2 Be 1.95
F1 0.5000 0.5000 0.5000 [1 per cell]  8 Zr 3.10, 4 Ru 3.40

Properties
energy relative to the elements, uncorrected: 0.065 eV per atom
density of states at the Fermi level: 1.24 states/eV/atom
density: 5.73 g/cm³